1.
Material: Sr2ZrTc
Method: DFT, PBE
State: optimized geometry

Output
- distance to the lowest polymorph of the same formula (meV/atom) = 913
- ρ (g/cm3) = 5.53
- space-group type = Fm-3m (225)
- energy of formation from the pure elements (eV per atom) = 1.1363

abc: 5.3690 5.3690 5.3690
angles: 60.00 60.00 60.00
Last column: nearest neighbours and their distance in Å.
Atoms (fractional coordinates):
Sr 0.2500 0.2500 0.2500  4 Tc 3.29, 4 Zr 3.29
Sr 0.7500 0.7500 0.7500  4 Zr 3.29, 4 Tc 3.29
Tc 0.5000 0.5000 0.5000  8 Sr 3.29
Zr 0.0000 0.0000 0.0000  8 Sr 3.29

***

2.
Material: SrZr2Tc
Method: DFT, PBE
State: optimized geometry

Output
- distance to the lowest polymorph of the same formula (meV/atom) = 633
- ρ (g/cm3) = 6.75
- space-group type = Pmmm (47)
- energy of formation from the pure elements (eV per atom) = 0.6947

abc: 3.6596 5.1203 4.8337
angles: 90.00 90.00 90.00
Last column: nearest neighbours and their distance in Å.
Atoms (fractional coordinates):
Sr 0.5000 0.0000 0.5000  4 Zr 3.03, 4 Tc 3.15
Tc 0.0000 0.5000 0.5000  4 Zr 3.03, 4 Sr 3.15
Zr 0.0000 0.0000 0.0000  4 Sr 3.03, 4 Zr 3.15
Zr 0.5000 0.5000 0.0000  4 Tc 3.03, 4 Zr 3.15

***

3.
Material: SrTe
Method: DFT, PBE
State: optimized geometry

Output
- formation energy (no corrections) (eV/atom) = -1.419
- ρ (g/cm3) = 3.10
- space-group type = R-3m (166)

abc: 5.5580 5.5580 25.8755
angles: 90.00 90.00 120.00
Last column: nearest neighbours and their distance in Å.
Atoms (fractional coordinates):
Sr 0.0000 0.0000 0.2243  4 Te 3.22-3.30
Sr 0.0000 0.0000 0.7757  4 Te 3.22-3.30
Sr 0.3333 0.6667 0.5577  4 Te 3.22-3.30
Sr 0.3333 0.6667 0.1088  4 Te 3.22-3.30
Sr 0.6667 0.3333 0.8912  4 Te 3.22-3.30
Sr 0.6667 0.3333 0.4423  4 Te 3.22-3.30
Te 0.0000 0.0000 0.0968  4 Sr 3.22-3.30
Te 0.0000 0.0000 0.9032  4 Sr 3.22-3.30
Te 0.3333 0.6667 0.4303  4 Sr 3.22-3.30
Te 0.3333 0.6667 0.2362  4 Sr 3.22-3.30
Te 0.6667 0.3333 0.7638  4 Sr 3.22-3.30
Te 0.6667 0.3333 0.5697  4 Sr 3.22-3.30

***

4.
Material: Sr2Te3
Method: DFT, PBE
State: optimized geometry

Output
- formation energy (no corrections) (eV/atom) = -1.088
- ρ (g/cm3) = 4.82
- space-group type = P-3m1 (164)

abc: 5.7426 5.7426 6.7306
angles: 90.00 90.00 120.00
Last column: nearest neighbours and their distance in Å.
Atoms (fractional coordinates):
Sr 0.6667 0.3333 0.2128  8 Te 3.33-3.61
Sr 0.3333 0.6667 0.7872  8 Te 3.33-3.61
Te 0.0000 0.0000 0.0000  6 Sr 3.61, 6 Te 3.86
Te 0.6667 0.3333 0.7069  5 Sr 3.33-3.41
Te 0.3333 0.6667 0.2931  5 Sr 3.33-3.41

***

5.
Material: Sr3Te5
Method: DFT, PBE
State: optimized geometry

Output
- formation energy (no corrections) (eV/atom) = -1.099
- distance to the lowest polymorph of the same formula (meV/atom) = 0
- ρ (g/cm3) = 5.63
- space-group type = Cmmm (65)

abc: 6.7611 6.7611 6.0266
angles: 90.00 90.00 105.46
Last column: nearest neighbours and their distance in Å.
Atoms (fractional coordinates):
Sr 0.5000 0.5000 0.0000  8 Te 3.38-3.39
Sr 0.7887 0.2113 0.5000  10 Te 3.40-3.77
Sr 0.2113 0.7887 0.5000  10 Te 3.40-3.77
Te 0.0000 0.0000 0.0000  4 Te 3.38, 4 Sr 3.77
Te 0.0000 0.5000 0.0000  6 Sr 3.38-3.67, 2 Te 3.38
Te 0.5000 0.0000 0.0000  6 Sr 3.38-3.67, 2 Te 3.38
Te 0.3091 0.3091 0.5000  1 Te 3.13, 6 Sr 3.39-3.48
Te 0.6909 0.6909 0.5000  1 Te 3.13, 6 Sr 3.39-3.48

***

6.
Material: SrTe
Method: DFT, PBE
State: optimized geometry

Output
- formation energy (no corrections) (eV/atom) = -1.567
- ρ (g/cm3) = 4.84
- space-group type = Cm (8)

abc: 6.5895 6.5895 8.7300
angles: 70.22 70.22 38.81
Last column: nearest neighbours and their distance in Å.
Atoms (fractional coordinates):
Sr 0.0834 0.0834 0.9978  4 Te 3.20-3.40
Sr 0.2537 0.2537 0.3568  7 Te 3.39-3.60
Sr 0.3961 0.3961 0.6977  5 Te 3.24-3.51
Te 0.6581 0.6581 0.6908  5 Sr 3.24-3.50
Te 0.9737 0.9737 0.3900  4 Sr 3.20-3.39
Te 0.8017 0.8017 0.0337  7 Sr 3.40-3.59